Compound: HfNb2ReCl
Source: the Alexandria database
Functional: PBE
Structure: optimized geometry

## Properties
**Uncorrected energy**: -38.08 eV per formula unit
**Total magnetization**: 0.0 μB/cell

POSCAR file:
```
HfNb2ReCl
1.0
5.010 0.000 0.000
0.000 4.462 0.000
0.000 0.000 5.010
Re Nb Hf Cl
1 2 1 1
Direct
0.000 0.000 0.000
0.000 0.000 0.500
0.500 0.000 0.000
0.500 0.500 0.500
0.000 0.500 0.000
```